! TmSnIrRh, relaxed, DFT GGA-PBE; values from VASP
! Energy of formation from the pure elements = -2.86 eV/f.u.
! Fermi-level density of states = 3.698 states/eV/f.u.
! Total magnetic moment = 0.0 μB per cell
&SYSTEM
  ibrav = 0, nat = 4, ntyp = 4
/
ATOMIC_SPECIES
Tm 168.93 Tm.upf
Ir 192.22 Ir.upf
Rh 102.91 Rh.upf
Sn 118.71 Sn.upf
ATOMIC_POSITIONS angstrom
Tm 0.000 0.000 0.000
Ir -1.057 -1.857 1.908
Rh -3.170 -5.570 5.723
Sn -2.113 -3.713 3.815
CELL_PARAMETERS angstrom
-1.486 -0.520 4.404
-3.543 -2.904 0.945
0.802 -4.003 2.282